## w
Ge2Bi2Br: relaxed, PBE.

abc: 8.7694 8.7694 3.5060
angles: 90.00 90.00 90.00
Fractional positions:
Ge1 0.1438 0.3562 0.0000
Ge2 0.3562 0.8562 0.0000
Ge3 0.6438 0.1438 0.0000
Ge4 0.8562 0.6438 0.0000
Bi1 0.1461 0.6461 0.5000
Bi2 0.3539 0.1461 0.5000
Bi3 0.6461 0.8539 0.5000
Bi4 0.8539 0.3539 0.5000
Br1 0.0000 0.0000 0.0000
Br2 0.5000 0.5000 0.0000

Calculated values
M_tot = 0.0 μB per cell



## x
Ge2Bi2Br: relaxed, PBE.

abc: 8.1624 8.1624 8.1624
angles: 148.43 148.43 45.25
Fractional positions:
Ge1 0.2500 0.7500 0.5000
Ge2 0.7500 0.2500 0.5000
Bi1 0.1255 0.1255 0.0000
Bi2 0.8745 0.8745 0.0000
Br1 0.5000 0.5000 0.0000

Calculated values
M_tot = 0.0 μB per cell



Here are the energies relative to the best structure, in eV/atom: w 0.194; x 0.000.



## w
Ge3BiBr: relaxed, PBE.

abc: 5.2303 5.2303 5.2303
angles: 90.00 90.00 90.00
Fractional positions:
Ge1 0.0000 0.0000 0.5000
Ge2 0.0000 0.5000 0.0000
Ge3 0.5000 0.0000 0.0000
Bi1 0.5000 0.5000 0.5000
Br1 0.0000 0.0000 0.0000

Calculated values
M_tot = 0.0 μB per cell



## x
Ge3BiBr: relaxed, PBE.

abc: 5.6535 5.6535 5.6535
angles: 90.00 90.00 90.00
Fractional positions:
Ge1 0.0000 0.0000 0.5000
Ge2 0.0000 0.5000 0.0000
Ge3 0.5000 0.0000 0.0000
Bi1 0.0000 0.0000 0.0000
Br1 0.5000 0.5000 0.5000

Calculated values
M_tot = 0.0 μB per cell



Here are the energies relative to the best structure, in eV/atom: w 0.000; x 0.122.



## w
GeBiSe2Br: relaxed, PBE.

abc: 5.5862 5.5862 5.4855
angles: 90.00 90.00 90.00
Fractional positions:
Ge1 0.0000 0.0000 0.0000
Bi1 0.5000 0.5000 0.5000
Se1 0.0000 0.5000 0.5000
Se2 0.5000 0.0000 0.5000
Br1 0.5000 0.5000 0.0000

Calculated values
M_tot = 0.1 μB per cell



## x
GeBiSe2Br: relaxed, PBE.

abc: 5.1457 5.1457 5.0604
angles: 90.00 90.00 90.00
Fractional positions:
Ge1 0.0000 0.0000 0.0000
Bi1 0.5000 0.5000 0.5000
Se1 0.0000 0.5000 0.0000
Se2 0.5000 0.0000 0.0000
Br1 0.0000 0.0000 0.5000

Calculated values
M_tot = 0.0 μB per cell



Here are the energies relative to the best structure, in eV/atom: w 0.271; x 0.000.



## w
BiH3Br: relaxed, PBE.

abc: 4.1359 4.1359 4.1359
angles: 90.00 90.00 90.00
Fractional positions:
Bi1 0.0000 0.0000 0.0000
H1 0.0000 0.0000 0.5000
H2 0.0000 0.5000 0.0000
H3 0.5000 0.0000 0.0000
Br1 0.5000 0.5000 0.5000

Calculated values
M_tot = 0.0 μB per cell



## x
BiH3Br: relaxed, PBE.

abc: 4.0510 4.0510 4.0510
angles: 90.00 90.00 90.00
Fractional positions:
Bi1 0.0000 0.0000 0.0000
H1 0.0000 0.5000 0.5000
H2 0.5000 0.0000 0.5000
H3 0.5000 0.5000 0.0000
Br1 0.5000 0.5000 0.5000

Calculated values
M_tot = 0.0 μB per cell



Here are the energies relative to the best structure, in eV/atom: w 0.000; x 0.696.



## w
Bi2HBr: relaxed, PBE.

abc: 5.1674 5.1674 5.1674
angles: 60.00 60.00 60.00
Fractional positions:
Bi1 0.2500 0.2500 0.2500
Bi2 0.7500 0.7500 0.7500
H1 0.0000 0.0000 0.0000
Br1 0.5000 0.5000 0.5000

Calculated values
M_tot = 0.0 μB per cell



## x
Bi2HBr: relaxed, PBE.

abc: 6.9660 6.9660 6.9660
angles: 125.03 125.03 81.49
Fractional positions:
Bi1 0.3750 0.2434 0.3684
Bi2 0.7566 0.1250 0.1316
Bi3 0.8750 0.0066 0.6316
Bi4 0.9934 0.6250 0.8684
H1 0.0000 0.0000 0.0000
H2 0.7500 0.2500 0.5000
Br1 0.2500 0.7500 0.5000
Br2 0.5000 0.5000 0.0000

Calculated values
M_tot = 0.0 μB per cell



Here are the energies relative to the best structure, in eV/atom: w 0.288; x 0.000.



## w
BiHBr: relaxed, PBE.

abc: 16.4828 15.6533 7.1122
angles: 83.83 70.76 25.40
Fractional positions:
Bi1 0.0093 0.0093 0.2407
Bi2 0.1250 0.1250 0.1250
Bi3 0.2407 0.2407 0.0093
Bi4 0.3750 0.3750 0.3750
Bi5 0.6250 0.6250 0.6250
Bi6 0.7593 0.7593 0.9907
Bi7 0.8750 0.8750 0.8750
Bi8 0.9907 0.9907 0.7593
H1 0.0752 0.7946 0.8511
H2 0.1489 0.2208 0.9248
H3 0.2054 0.9248 0.2208
H4 0.2208 0.1489 0.2054
H5 0.7792 0.8511 0.7946
H6 0.7946 0.0752 0.7792
H7 0.8511 0.7792 0.0752
H8 0.9248 0.2054 0.1489
Br1 0.1269 0.4893 0.3022
Br2 0.3022 0.5816 0.1269
Br3 0.4184 0.6978 0.5107
Br4 0.4893 0.1269 0.5816
Br5 0.5107 0.8731 0.4184
Br6 0.5816 0.3022 0.4893
Br7 0.6978 0.4184 0.8731
Br8 0.8731 0.5107 0.6978

Calculated values
M_tot = 0.0 μB per cell



## x
BiHBr: relaxed, PBE.

abc: 12.2009 4.4638 7.5352
angles: 90.00 93.40 90.00
Fractional positions:
Bi1 0.0700 0.0027 0.3388
Bi2 0.0700 0.4973 0.8388
Bi3 0.9300 0.5027 0.1612
Bi4 0.9300 0.9973 0.6612
H1 0.4716 0.6928 0.2507
H2 0.4716 0.8072 0.7507
H3 0.5284 0.1928 0.2493
H4 0.5284 0.3072 0.7493
Br1 0.3786 0.0144 0.7659
Br2 0.3786 0.4856 0.2659
Br3 0.6214 0.5144 0.7341
Br4 0.6214 0.9856 0.2341

Calculated values
M_tot = 0.0 μB per cell



Here are the energies relative to the best structure, in eV/atom: w 0.146; x 0.000.



## w
BiH2Br: relaxed, PBE.

abc: 7.2941 7.2941 7.2941
angles: 141.00 141.00 56.33
Fractional positions:
Bi1 0.3750 0.6250 0.7500
Bi2 0.6250 0.3750 0.2500
H1 0.0000 0.5000 0.5000
H2 0.5000 0.0000 0.0000
H3 0.5000 0.5000 0.0000
H4 0.5000 0.5000 0.5000
Br1 0.1250 0.8750 0.2500
Br2 0.8750 0.1250 0.7500

Calculated values
M_tot = 0.0 μB per cell



## x
BiH2Br: relaxed, PBE.

abc: 4.4300 4.4300 4.4300
angles: 60.00 60.00 60.00
Fractional positions:
Bi1 0.0000 0.0000 0.0000
H1 0.2500 0.2500 0.2500
H2 0.7500 0.7500 0.7500
Br1 0.5000 0.5000 0.5000

Calculated values
M_tot = 0.0 μB per cell



## y
BiH2Br: relaxed, PBE.

abc: 9.6657 9.6657 4.6296
angles: 90.01 90.01 152.55
Fractional positions:
Bi1 0.0000 0.5000 0.0000
Bi2 0.5000 0.0000 0.5000
H1 0.0027 0.0945 0.1850
H2 0.0945 0.0027 0.6850
H3 0.9055 0.9973 0.3150
H4 0.9973 0.9055 0.8150
Br1 0.3782 0.6218 0.7500
Br2 0.6218 0.3782 0.2500

Calculated values
M_tot = 0.0 μB per cell



Here are the energies relative to the best structure, in eV/atom: w 0.394; x 0.967; y 0.000.



## w
InBiHBrN: relaxed, PBE.

abc: 3.5254 3.8690 8.2265
angles: 87.06 77.84 62.91
Fractional positions:
In1 0.0000 0.0000 0.0000
Bi1 0.5149 0.6185 0.3637
H1 0.8077 0.0691 0.3112
Br1 0.5584 0.1468 0.7339
N1 0.6360 0.6490 0.0805

Calculated values
M_tot = 0.0 μB per cell



## x
InBiHBrN: relaxed, PBE.

abc: 3.4379 4.9671 6.6854
angles: 78.80 75.33 89.87
Fractional positions:
In1 0.0000 0.0000 0.0000
Bi1 0.8019 0.2678 0.3999
H1 0.8902 0.6301 0.2178
Br1 0.1384 0.5824 0.7257
N1 0.3916 0.1099 0.2180

Calculated values
M_tot = 0.0 μB per cell



## y
InBiHBrN: relaxed, PBE.

abc: 3.5858 3.5858 12.1182
angles: 92.84 93.16 119.27
Fractional positions:
In1 0.0000 0.0000 0.0000
Bi1 0.5755 0.2490 0.7466
H1 0.7328 0.7536 0.4320
Br1 0.4997 0.9558 0.3876
N1 0.6414 0.3127 0.9336

Calculated values
M_tot = 0.0 μB per cell



## z
InBiHBrN: relaxed, PBE.

abc: 3.5466 3.5470 10.7694
angles: 90.20 99.23 119.99
Fractional positions:
In1 0.0000 0.0000 0.0000
Bi1 0.6931 0.8555 0.5424
H1 0.5559 0.2763 0.8310
Br1 0.4581 0.7311 0.1903
N1 0.6197 0.3092 0.9284

Calculated values
M_tot = 0.0 μB per cell



Here are the energies relative to the best structure, in eV/atom: w 0.217; x 0.467; y 0.345; z 0.000.



## w
InBiHBrN: relaxed, PBE.

abc: 3.7563 3.7563 8.5278
angles: 102.81 102.81 60.21
Fractional positions:
In1 0.0000 0.0000 0.0000
Bi1 0.4549 0.4549 0.3564
H1 0.1128 0.1128 0.3387
Br1 0.8962 0.8962 0.6815
N1 0.3589 0.3589 0.0748

Calculated values
M_tot = 0.0 μB per cell



## x
InBiHBrN: relaxed, PBE.

abc: 3.5993 3.7618 7.6613
angles: 90.00 90.42 90.00
Fractional positions:
In1 0.0000 0.0000 0.0000
Bi1 0.4948 0.5000 0.6504
H1 0.9998 0.5000 0.0375
Br1 0.5036 0.0000 0.2994
N1 0.4972 0.0000 0.8291

Calculated values
M_tot = 0.0 μB per cell



Here are the energies relative to the best structure, in eV/atom: w 0.052; x 0.000.



## w
BiHSe2Br: relaxed, PBE.

abc: 4.2700 4.2700 5.6699
angles: 90.00 90.00 90.00
Fractional positions:
Bi1 0.0000 0.0000 0.0000
H1 0.5000 0.5000 0.5000
Se1 0.0000 0.5000 0.5000
Se2 0.5000 0.0000 0.5000
Br1 0.5000 0.5000 0.0000

Calculated values
M_tot = 0.0 μB per cell



## x
BiHSe2Br: relaxed, PBE.

abc: 5.6283 5.6283 5.8265
angles: 90.00 90.00 90.00
Fractional positions:
Bi1 0.0000 0.0000 0.0000
H1 0.5000 0.5000 0.5000
Se1 0.0000 0.5000 0.0000
Se2 0.5000 0.0000 0.0000
Br1 0.0000 0.0000 0.5000

Calculated values
M_tot = 2.9 μB per cell



Here are the energies relative to the best structure, in eV/atom: w 0.000; x 0.314.



## w
HfBiBr3: relaxed, PBE.

abc: 5.3701 5.3701 5.3701
angles: 90.00 90.00 90.00
Fractional positions:
Hf1 0.0000 0.0000 0.0000
Bi1 0.5000 0.5000 0.5000
Br1 0.0000 0.0000 0.5000
Br2 0.0000 0.5000 0.0000
Br3 0.5000 0.0000 0.0000

Calculated values
M_tot = 2.7 μB per cell



## x
HfBiBr3: relaxed, PBE.

abc: 5.8251 5.8251 5.8251
angles: 90.00 90.00 90.00
Fractional positions:
Hf1 0.0000 0.0000 0.0000
Bi1 0.5000 0.5000 0.5000
Br1 0.0000 0.5000 0.5000
Br2 0.5000 0.0000 0.5000
Br3 0.5000 0.5000 0.0000

Calculated values
M_tot = 1.5 μB per cell



Here are the energies relative to the best structure, in eV/atom: w 0.000; x 0.818.